# PBE MnZnNi2, optimized geometry
# - ΔE_f (kcal/mol of atoms) = -0.949
data_MnZnNi2
_chemical_formula_sum 'Mn1 Zn1 Ni2'
_cell_length_a 4.292
_cell_length_b 2.682
_cell_length_c 4.496
_cell_angle_alpha 90.00
_cell_angle_beta 108.78
_cell_angle_gamma 90.00
_space_group_name_H-M_alt 'P 1 2/m 1'
_space_group_IT_number 10
_space_group_name_Hall '-P 2y'
loop_
_atom_site_label
_atom_site_type_symbol
_atom_site_fract_x
_atom_site_fract_y
_atom_site_fract_z
_atom_site_occupancy
Mn1 Mn 0.000 0.000 0.000 1
Zn1 Zn 0.000 0.500 0.500 1
Ni1 Ni 0.500 0.000 0.500 1
Ni2 Ni 0.500 0.500 0.000 1